[1]
Here is a geometry-optimized AlNi structure from the Alexandria database. Energies are from GGA-PBE.

Results
space-group type	Fd-3m, No. 227
D(E_F)	0.93	states/eV/f.u.
DFT total energy	-5.1002	eV/atom
E_form	-338.3	meV per atom

The structure in CIF format:
```
data_AlNi
_chemical_formula_sum 'Al8 Ni8'
_cell_length_a 5.8461
_cell_length_b 5.8461
_cell_length_c 5.8461
_cell_angle_alpha 90.00
_cell_angle_beta 90.00
_cell_angle_gamma 90.00
_symmetry_space_group_name_H-M 'P 1'
_symmetry_Int_Tables_number 1
loop_
_symmetry_equiv_pos_as_xyz
'x,y,z'
loop_
_atom_site_label
_atom_site_type_symbol
_atom_site_fract_x
_atom_site_fract_y
_atom_site_fract_z
Al1 Al 0.1250 0.1250 0.1250
Al2 Al 0.1250 0.6250 0.6250
Al3 Al 0.3750 0.3750 0.8750
Al4 Al 0.3750 0.8750 0.3750
Al5 Al 0.6250 0.1250 0.6250
Al6 Al 0.6250 0.6250 0.1250
Al7 Al 0.8750 0.3750 0.3750
Al8 Al 0.8750 0.8750 0.8750
Ni1 Ni 0.1250 0.1250 0.6250
Ni2 Ni 0.1250 0.6250 0.1250
Ni3 Ni 0.3750 0.3750 0.3750
Ni4 Ni 0.3750 0.8750 0.8750
Ni5 Ni 0.6250 0.1250 0.1250
Ni6 Ni 0.6250 0.6250 0.6250
Ni7 Ni 0.8750 0.3750 0.8750
Ni8 Ni 0.8750 0.8750 0.3750
```

[2]
Here is a geometry-optimized LiBe4Sb3O12 structure from the Alexandria database. Energies are from GGA-PBE.

Results
space-group type	R32, No. 155
energy relative to the elements, uncorrected	-1897	meV per atom
D(E_F)	0.00	states/eV/f.u.
DFT total energy	-6.3309	eV/atom

The structure in CIF format:
```
data_LiBe4Sb3O12
_chemical_formula_sum 'Li1 Be4 Sb3 O12'
_cell_length_a 6.3544
_cell_length_b 6.3544
_cell_length_c 6.3544
_cell_angle_alpha 105.47
_cell_angle_beta 105.47
_cell_angle_gamma 105.47
_symmetry_space_group_name_H-M 'P 1'
_symmetry_Int_Tables_number 1
loop_
_symmetry_equiv_pos_as_xyz
'x,y,z'
loop_
_atom_site_label
_atom_site_type_symbol
_atom_site_fract_x
_atom_site_fract_y
_atom_site_fract_z
Li1 Li 0.0000 0.0000 0.0000
Be1 Be 0.0587 0.5000 0.9413
Be2 Be 0.5000 0.5000 0.5000
Be3 Be 0.5000 0.9413 0.0587
Be4 Be 0.9413 0.0587 0.5000
Sb1 Sb 0.0000 0.5496 0.4504
Sb2 Sb 0.4504 0.0000 0.5496
Sb3 Sb 0.5496 0.4504 0.0000
O1 O 0.0239 0.6343 0.7739
O2 O 0.0987 0.9013 0.5000
O3 O 0.2261 0.3657 0.9761
O4 O 0.3473 0.6527 0.5000
O5 O 0.3657 0.9761 0.2261
O6 O 0.5000 0.0987 0.9013
O7 O 0.5000 0.3473 0.6527
O8 O 0.6343 0.7739 0.0239
O9 O 0.6527 0.5000 0.3473
O10 O 0.7739 0.0239 0.6343
O11 O 0.9013 0.5000 0.0987
O12 O 0.9761 0.2261 0.3657
```

[3]
Here is a geometry-optimized Zr2TaTc structure from the Alexandria database. Energies are from GGA-PBE.

Results
space-group type	Immm, No. 71
D(E_F)	4.73	states/eV/f.u.
DFT total energy	-9.9382	eV/atom
energy above the most stable polymorph in this dataset	0.082	eV/atom
E_form	-109.4	meV per atom

The structure in CIF format:
```
data_Zr2TaTc
_chemical_formula_sum 'Zr4 Ta2 Tc2'
_cell_length_a 3.3048
_cell_length_b 4.8189
_cell_length_c 9.5525
_cell_angle_alpha 90.00
_cell_angle_beta 90.00
_cell_angle_gamma 90.00
_symmetry_space_group_name_H-M 'P 1'
_symmetry_Int_Tables_number 1
loop_
_symmetry_equiv_pos_as_xyz
'x,y,z'
loop_
_atom_site_label
_atom_site_type_symbol
_atom_site_fract_x
_atom_site_fract_y
_atom_site_fract_z
Zr1 Zr 0.0000 0.0000 0.2310
Zr2 Zr 0.0000 0.0000 0.7690
Zr3 Zr 0.5000 0.5000 0.2690
Zr4 Zr 0.5000 0.5000 0.7310
Ta1 Ta 0.0000 0.5000 0.0000
Ta2 Ta 0.5000 0.0000 0.5000
Tc1 Tc 0.0000 0.5000 0.5000
Tc2 Tc 0.5000 0.0000 0.0000
```

[4]
Here is a geometry-optimized ZnHg2Rh4 structure from the Alexandria database. Energies are from GGA-PBE.

Results
space-group type	I4/mmm, No. 139
D(E_F)	12.55	states/eV/f.u.
DFT total energy	-3.6399	eV/atom
E_form	829.1	meV per atom

The structure in CIF format:
```
data_ZnHg2Rh4
_chemical_formula_sum 'Zn2 Hg4 Rh8'
_cell_length_a 4.5442
_cell_length_b 4.5442
_cell_length_c 13.6416
_cell_angle_alpha 90.00
_cell_angle_beta 90.00
_cell_angle_gamma 90.00
_symmetry_space_group_name_H-M 'P 1'
_symmetry_Int_Tables_number 1
loop_
_symmetry_equiv_pos_as_xyz
'x,y,z'
loop_
_atom_site_label
_atom_site_type_symbol
_atom_site_fract_x
_atom_site_fract_y
_atom_site_fract_z
Zn1 Zn 0.0000 0.0000 0.0000
Zn2 Zn 0.5000 0.5000 0.5000
Hg1 Hg 0.0000 0.0000 0.3718
Hg2 Hg 0.0000 0.0000 0.6282
Hg3 Hg 0.5000 0.5000 0.1282
Hg4 Hg 0.5000 0.5000 0.8718
Rh1 Rh 0.0000 0.0000 0.1749
Rh2 Rh 0.0000 0.0000 0.8251
Rh3 Rh 0.0000 0.5000 0.0000
Rh4 Rh 0.0000 0.5000 0.5000
Rh5 Rh 0.5000 0.0000 0.0000
Rh6 Rh 0.5000 0.0000 0.5000
Rh7 Rh 0.5000 0.5000 0.3251
Rh8 Rh 0.5000 0.5000 0.6749
```

[5]
Here is a geometry-optimized DyZn4Au2 structure from the Alexandria database. Energies are from GGA-PBE.

Results
space-group type	P4_2/mnm, No. 136
D(E_F)	1.53	states/eV/f.u.
DFT total energy	-2.7223	eV/atom
energy above the most stable polymorph in this dataset	0.000	eV/atom
E_form	-400.5	meV per atom

The structure in CIF format:
```
data_DyZn4Au2
_chemical_formula_sum 'Dy2 Zn8 Au4'
_cell_length_a 7.6076
_cell_length_b 7.6076
_cell_length_c 4.3839
_cell_angle_alpha 90.00
_cell_angle_beta 90.00
_cell_angle_gamma 90.00
_symmetry_space_group_name_H-M 'P 1'
_symmetry_Int_Tables_number 1
loop_
_symmetry_equiv_pos_as_xyz
'x,y,z'
loop_
_atom_site_label
_atom_site_type_symbol
_atom_site_fract_x
_atom_site_fract_y
_atom_site_fract_z
Dy1 Dy 0.0000 0.0000 0.0000
Dy2 Dy 0.5000 0.5000 0.5000
Zn1 Zn 0.1013 0.3560 0.5000
Zn2 Zn 0.1440 0.6013 0.0000
Zn3 Zn 0.3560 0.1013 0.5000
Zn4 Zn 0.3987 0.8560 0.0000
Zn5 Zn 0.6013 0.1440 0.0000
Zn6 Zn 0.6440 0.8987 0.5000
Zn7 Zn 0.8560 0.3987 0.0000
Zn8 Zn 0.8987 0.6440 0.5000
Au1 Au 0.2057 0.7943 0.5000
Au2 Au 0.2943 0.2943 0.0000
Au3 Au 0.7057 0.7057 0.0000
Au4 Au 0.7943 0.2057 0.5000
```

[6]
Here is a geometry-optimized K2TeBr2 structure from the Alexandria database. Energies are from GGA-PBE.

Results
space-group type	I4/mmm, No. 139
energy relative to the elements, uncorrected	-1132	meV per atom
D(E_F)	0.00	states/eV/f.u.
DFT total energy	-2.8688	eV/atom
energy above the most stable polymorph in this dataset	0.000	eV/atom

The structure in CIF format:
```
data_K2TeBr2
_chemical_formula_sum 'K4 Te2 Br4'
_cell_length_a 6.4918
_cell_length_b 6.4918
_cell_length_c 9.3686
_cell_angle_alpha 90.00
_cell_angle_beta 90.00
_cell_angle_gamma 90.00
_symmetry_space_group_name_H-M 'P 1'
_symmetry_Int_Tables_number 1
loop_
_symmetry_equiv_pos_as_xyz
'x,y,z'
loop_
_atom_site_label
_atom_site_type_symbol
_atom_site_fract_x
_atom_site_fract_y
_atom_site_fract_z
K1 K 0.0000 0.5000 0.2500
K2 K 0.0000 0.5000 0.7500
K3 K 0.5000 0.0000 0.2500
K4 K 0.5000 0.0000 0.7500
Te1 Te 0.0000 0.0000 0.0000
Te2 Te 0.5000 0.5000 0.5000
Br1 Br 0.0000 0.0000 0.3043
Br2 Br 0.0000 0.0000 0.6957
Br3 Br 0.5000 0.5000 0.1957
Br4 Br 0.5000 0.5000 0.8043
```

[7]
Here is a geometry-optimized InCu2Tc structure from the Alexandria database. Energies are from GGA-PBE.

Results
space-group type	R-3m, No. 166
D(E_F)	3.53	states/eV/f.u.
DFT total energy	-4.9124	eV/atom
E_form	411.8	meV per atom

The structure in CIF format:
```
data_InCu2Tc
_chemical_formula_sum 'In3 Cu6 Tc3'
_cell_length_a 2.8278
_cell_length_b 2.8278
_cell_length_c 26.6128
_cell_angle_alpha 90.00
_cell_angle_beta 90.00
_cell_angle_gamma 120.00
_symmetry_space_group_name_H-M 'P 1'
_symmetry_Int_Tables_number 1
loop_
_symmetry_equiv_pos_as_xyz
'x,y,z'
loop_
_atom_site_label
_atom_site_type_symbol
_atom_site_fract_x
_atom_site_fract_y
_atom_site_fract_z
In1 In 0.0000 0.0000 0.0000
In2 In 0.3333 0.6667 0.6667
In3 In 0.6667 0.3333 0.3333
Cu1 Cu 0.0000 0.0000 0.2456
Cu2 Cu 0.0000 0.0000 0.7544
Cu3 Cu 0.3333 0.6667 0.4211
Cu4 Cu 0.3333 0.6667 0.9123
Cu5 Cu 0.6667 0.3333 0.0877
Cu6 Cu 0.6667 0.3333 0.5789
Tc1 Tc 0.0000 0.0000 0.5000
Tc2 Tc 0.3333 0.6667 0.1667
Tc3 Tc 0.6667 0.3333 0.8333
```

[8]
Here is a geometry-optimized CdReSbI2 structure from the Alexandria database. Energies are from GGA-PBE.

Results
space-group type	P4/mmm, No. 123
energy relative to the elements, uncorrected	655	meV per atom
D(E_F)	3.77	states/eV/f.u.
DFT total energy	-3.4624	eV/atom
energy above the most stable polymorph in this dataset	0.000	eV/atom

The structure in CIF format:
```
data_CdReSbI2
_chemical_formula_sum 'Cd1 Re1 Sb1 I2'
_cell_length_a 5.6376
_cell_length_b 5.6376
_cell_length_c 5.1538
_cell_angle_alpha 90.00
_cell_angle_beta 90.00
_cell_angle_gamma 90.00
_symmetry_space_group_name_H-M 'P 1'
_symmetry_Int_Tables_number 1
loop_
_symmetry_equiv_pos_as_xyz
'x,y,z'
loop_
_atom_site_label
_atom_site_type_symbol
_atom_site_fract_x
_atom_site_fract_y
_atom_site_fract_z
Cd1 Cd 0.0000 0.0000 0.0000
Re1 Re 0.5000 0.5000 0.5000
Sb1 Sb 0.5000 0.5000 0.0000
I1 I 0.0000 0.5000 0.5000
I2 I 0.5000 0.0000 0.5000
```

[9]
Here is a geometry-optimized CrTcN structure from the Alexandria database. Energies are from GGA-PBE.

Results
space-group type	I4mm, No. 107
energy relative to the elements, uncorrected	136	meV per atom
D(E_F)	1.48	states/eV/f.u.
DFT total energy	-9.3024	eV/atom
energy above the most stable polymorph in this dataset	0.108	eV/atom

The structure in CIF format:
```
data_CrTcN
_chemical_formula_sum 'Cr2 Tc2 N2'
_cell_length_a 2.6093
_cell_length_b 2.6093
_cell_length_c 9.1174
_cell_angle_alpha 90.00
_cell_angle_beta 90.00
_cell_angle_gamma 90.00
_symmetry_space_group_name_H-M 'P 1'
_symmetry_Int_Tables_number 1
loop_
_symmetry_equiv_pos_as_xyz
'x,y,z'
loop_
_atom_site_label
_atom_site_type_symbol
_atom_site_fract_x
_atom_site_fract_y
_atom_site_fract_z
Cr1 Cr 0.0000 0.0000 0.0000
Cr2 Cr 0.5000 0.5000 0.5000
Tc1 Tc 0.0000 0.0000 0.7137
Tc2 Tc 0.5000 0.5000 0.2137
N1 N 0.0000 0.0000 0.4119
N2 N 0.5000 0.5000 0.9119
```

[10]
Here is a geometry-optimized Li2InPb structure from the Alexandria database. Energies are from GGA-PBE.

Results
space-group type	Immm, No. 71
D(E_F)	1.92	states/eV/f.u.
DFT total energy	-2.5021	eV/atom
energy above the most stable polymorph in this dataset	0.343	eV/atom
E_form	66.5	meV per atom

The structure in CIF format:
```
data_Li2InPb
_chemical_formula_sum 'Li4 In2 Pb2'
_cell_length_a 3.3832
_cell_length_b 5.6433
_cell_length_c 11.1618
_cell_angle_alpha 90.00
_cell_angle_beta 90.00
_cell_angle_gamma 90.00
_symmetry_space_group_name_H-M 'P 1'
_symmetry_Int_Tables_number 1
loop_
_symmetry_equiv_pos_as_xyz
'x,y,z'
loop_
_atom_site_label
_atom_site_type_symbol
_atom_site_fract_x
_atom_site_fract_y
_atom_site_fract_z
Li1 Li 0.0000 0.0000 0.2488
Li2 Li 0.0000 0.0000 0.7512
Li3 Li 0.5000 0.5000 0.2512
Li4 Li 0.5000 0.5000 0.7488
In1 In 0.0000 0.0000 0.0000
In2 In 0.5000 0.5000 0.5000
Pb1 Pb 0.0000 0.0000 0.5000
Pb2 Pb 0.5000 0.5000 0.0000
```

[11]
Here is a geometry-optimized CdSbTe2N structure from the Alexandria database. Energies are from GGA-PBE.

Results
space-group type	P4/mmm, No. 123
energy relative to the elements, uncorrected	636	meV per atom
D(E_F)	4.44	states/eV/f.u.
DFT total energy	-3.2930	eV/atom
energy above the most stable polymorph in this dataset	0.000	eV/atom

The structure in CIF format:
```
data_CdSbTe2N
_chemical_formula_sum 'Cd1 Sb1 Te2 N1'
_cell_length_a 4.7825
_cell_length_b 4.7825
_cell_length_c 4.9755
_cell_angle_alpha 90.00
_cell_angle_beta 90.00
_cell_angle_gamma 90.00
_symmetry_space_group_name_H-M 'P 1'
_symmetry_Int_Tables_number 1
loop_
_symmetry_equiv_pos_as_xyz
'x,y,z'
loop_
_atom_site_label
_atom_site_type_symbol
_atom_site_fract_x
_atom_site_fract_y
_atom_site_fract_z
Cd1 Cd 0.0000 0.0000 0.0000
Sb1 Sb 0.5000 0.5000 0.0000
Te1 Te 0.0000 0.5000 0.5000
Te2 Te 0.5000 0.0000 0.5000
N1 N 0.5000 0.5000 0.5000
```

[12]
Here is a geometry-optimized BaTa2Sb structure from the Alexandria database. Energies are from GGA-PBE.

Results
space-group type	Immm, No. 71
energy relative to the elements, uncorrected	718	meV per atom
D(E_F)	4.48	states/eV/f.u.
DFT total energy	-6.7200	eV/atom

The structure in CIF format:
```
data_BaTa2Sb
_chemical_formula_sum 'Ba2 Ta4 Sb2'
_cell_length_a 2.9911
_cell_length_b 5.7809
_cell_length_c 11.7288
_cell_angle_alpha 90.00
_cell_angle_beta 90.00
_cell_angle_gamma 90.00
_symmetry_space_group_name_H-M 'P 1'
_symmetry_Int_Tables_number 1
loop_
_symmetry_equiv_pos_as_xyz
'x,y,z'
loop_
_atom_site_label
_atom_site_type_symbol
_atom_site_fract_x
_atom_site_fract_y
_atom_site_fract_z
Ba1 Ba 0.0000 0.0000 0.0000
Ba2 Ba 0.5000 0.5000 0.5000
Ta1 Ta 0.0000 0.5000 0.2159
Ta2 Ta 0.0000 0.5000 0.7841
Ta3 Ta 0.5000 0.0000 0.2841
Ta4 Ta 0.5000 0.0000 0.7159
Sb1 Sb 0.0000 0.0000 0.5000
Sb2 Sb 0.5000 0.5000 0.0000
```

[13]
Here is a geometry-optimized Tb2NpPaC4 structure from the Alexandria database. Energies are from GGA-PBE.

Results
space-group type	P2/m, No. 10
D(E_F)	6.64	states/eV/f.u.
DFT total energy	-8.7896	eV/atom
E_form	-215.5	meV per atom

The structure in CIF format:
```
data_Tb2NpPaC4
_chemical_formula_sum 'Tb2 Np1 Pa1 C4'
_cell_length_a 6.1372
_cell_length_b 3.6149
_cell_length_c 6.2333
_cell_angle_alpha 90.00
_cell_angle_beta 109.59
_cell_angle_gamma 90.00
_symmetry_space_group_name_H-M 'P 1'
_symmetry_Int_Tables_number 1
loop_
_symmetry_equiv_pos_as_xyz
'x,y,z'
loop_
_atom_site_label
_atom_site_type_symbol
_atom_site_fract_x
_atom_site_fract_y
_atom_site_fract_z
Tb1 Tb 0.0000 0.0000 0.0000
Tb2 Tb 0.0000 0.5000 0.5000
Np1 Np 0.5000 0.0000 0.5000
Pa1 Pa 0.5000 0.5000 0.0000
C1 C 0.2831 0.0000 0.7474
C2 C 0.2839 0.5000 0.2691
C3 C 0.7161 0.5000 0.7309
C4 C 0.7169 0.0000 0.2526
```